[1]
SmPuCoAu | PBE | optimized geometry

a = 7.079 Å, b = 7.079 Å, c = 7.079 Å
α = 90.00°, β = 90.00°, γ = 90.00°
Fractional coordinates of all 16 atoms:
Sm 0.000 0.000 0.000
Sm 0.000 0.500 0.500
Sm 0.500 0.000 0.500
Sm 0.500 0.500 0.000
Pu 0.000 0.000 0.500
Pu 0.000 0.500 0.000
Pu 0.500 0.000 0.000
Pu 0.500 0.500 0.500
Co 0.250 0.250 0.750
Co 0.250 0.750 0.250
Co 0.750 0.250 0.250
Co 0.750 0.750 0.750
Au 0.250 0.250 0.250
Au 0.250 0.750 0.750
Au 0.750 0.250 0.750
Au 0.750 0.750 0.250

Computed properties:
calculated density = 12.2 g/cm³
uncorrected energy = -7.536 eV/atom
E_form = -0.1770 eV per atom
SG = F-43m (216)



[2]
Ga3Ni12Ge | PBE | optimized geometry

a = 3.579 Å, b = 3.579 Å, c = 14.352 Å
α = 90.00°, β = 90.00°, γ = 90.00°
Fractional coordinates of all 16 atoms:
Ga 0.000 0.000 0.000
Ga 0.000 0.000 0.250
Ga 0.000 0.000 0.750
Ni 0.000 0.500 0.125
Ni 0.000 0.500 0.376
Ni 0.000 0.500 0.624
Ni 0.000 0.500 0.875
Ni 0.500 0.000 0.125
Ni 0.500 0.000 0.376
Ni 0.500 0.000 0.624
Ni 0.500 0.000 0.875
Ni 0.500 0.500 0.000
Ni 0.500 0.500 0.251
Ni 0.500 0.500 0.500
Ni 0.500 0.500 0.749
Ge 0.000 0.000 0.500

Computed properties:
calculated density = 8.9 g/cm³
uncorrected energy = -5.479 eV/atom
E_form = -0.2868 eV per atom
SG = P4/mmm (123)



[3]
La2AlNi4Sn3 | PBE | optimized geometry

a = 4.412 Å, b = 4.412 Å, c = 10.272 Å
α = 90.00°, β = 90.00°, γ = 90.00°
Fractional coordinates of all 10 atoms:
La 0.000 0.500 0.247
La 0.500 0.000 0.753
Al 0.000 0.000 0.500
Ni 0.000 0.000 0.000
Ni 0.000 0.500 0.625
Ni 0.500 0.000 0.375
Ni 0.500 0.500 0.000
Sn 0.000 0.500 0.873
Sn 0.500 0.000 0.127
Sn 0.500 0.500 0.500

Computed properties:
calculated density = 7.4 g/cm³
uncorrected energy = -5.445 eV/atom
E_form = -0.5724 eV per atom
SG = P-4m2 (115)



[4]
Ca2TaTc | PBE | optimized geometry

a = 5.661 Å, b = 10.386 Å, c = 2.881 Å
α = 90.00°, β = 90.00°, γ = 90.00°
Fractional coordinates of all 8 atoms:
Ca 0.250 0.250 0.000
Ca 0.250 0.750 0.000
Ca 0.750 0.250 0.000
Ca 0.750 0.750 0.000
Ta 0.000 0.000 0.500
Ta 0.500 0.500 0.500
Tc 0.000 0.500 0.500
Tc 0.500 0.000 0.500

Computed properties:
calculated density = 7.0 g/cm³
ΔE to the lowest computed polymorph = 2.26 eV/f.u.
uncorrected energy = -5.830 eV/atom
E_form = 0.7251 eV per atom
SG = Cmmm (65)



[5]
ThUTl | PBE | optimized geometry

a = 3.472 Å, b = 3.472 Å, c = 28.338 Å
α = 90.00°, β = 90.00°, γ = 90.00°
Fractional coordinates of all 12 atoms:
Th 0.000 0.000 0.143
Th 0.000 0.000 0.857
Th 0.500 0.500 0.357
Th 0.500 0.500 0.643
U 0.000 0.000 0.269
U 0.000 0.000 0.731
U 0.500 0.500 0.231
U 0.500 0.500 0.769
Tl 0.000 0.000 0.447
Tl 0.000 0.000 0.553
Tl 0.500 0.500 0.053
Tl 0.500 0.500 0.947

Computed properties:
calculated density = 13.1 g/cm³
uncorrected energy = -6.910 eV/atom
E_form = 0.1149 eV per atom
SG = I4/mmm (139)



[6]
YTe2Rh | PBE | optimized geometry

a = 4.956 Å, b = 4.956 Å, c = 3.679 Å
α = 90.00°, β = 90.00°, γ = 90.00°
Fractional coordinates of all 4 atoms:
Y 0.000 0.000 0.000
Te 0.000 0.500 0.500
Te 0.500 0.000 0.500
Rh 0.500 0.500 0.000

Computed properties:
energy relative to the elements, uncorrected = -0.65 eV per atom
calculated density = 8.2 g/cm³
ΔE to the lowest computed polymorph = 0.63 eV/f.u.
uncorrected energy = -5.679 eV/atom
SG = P4/mmm (123)



[7]
TaZnW2 | PBE | optimized geometry

a = 2.705 Å, b = 2.705 Å, c = 8.935 Å
α = 90.00°, β = 90.00°, γ = 90.00°
Fractional coordinates of all 4 atoms:
Ta 0.000 0.000 0.000
Zn 0.000 0.000 0.500
W 0.500 0.500 0.265
W 0.500 0.500 0.735

Computed properties:
calculated density = 15.6 g/cm³
uncorrected energy = -9.503 eV/atom
E_form = 0.2548 eV per atom
SG = P4/mmm (123)



[8]
MgNi2MoAu | PBE | optimized geometry

a = 4.312 Å, b = 4.312 Å, c = 4.824 Å
α = 90.00°, β = 90.00°, γ = 90.00°
Fractional coordinates of all 5 atoms:
Mg 0.000 0.000 0.000
Ni 0.000 0.500 0.000
Ni 0.500 0.000 0.000
Mo 0.000 0.000 0.500
Au 0.500 0.500 0.500

Computed properties:
calculated density = 8.0 g/cm³
uncorrected energy = -3.994 eV/atom
E_form = 1.4590 eV per atom
SG = P4/mmm (123)